# LiYZnTe3

A relaxed LiYZnTe3 crystal (PBE-GGA, OQMD via LeMat-Bulk).

The calculation puts the total energy at -4.047 eV per atom.

The structure belongs to space group C2/m (No. 12); the cell edges are 20.4350, 4.2087 and 8.4328 Å and the angles 90.00°, 103.63° and 90.00°. Symmetry generates all atoms from Li at (0.1059, 0.0000, 0.0828), Y at (0.1723, 0.0000, 0.5790), Zn at (0.0441, 0.5000, 0.7264), Te at (0.0000, 0.0000, 0.5000), Te at (0.0000, 0.5000, 0.0000), Te at (0.1734, 0.5000, 0.8423) and Te at (0.1739, 0.5000, 0.3199).

# Ge2MoOs

A relaxed Ge2MoOs crystal (PBE-GGA, OQMD via LeMat-Bulk).

The calculation puts the total energy at -7.477 eV per atom.

The structure belongs to space group F-43m (No. 216); the cell edges are 6.2978, 6.2978 and 6.2978 Å and the angles 90.00°, 90.00° and 90.00°. Symmetry generates all atoms from Ge at (0.0000, 0.0000, 0.0000), Ge at (0.2500, 0.2500, 0.2500), Mo at (0.2500, 0.2500, 0.7500) and Os at (0.0000, 0.0000, 0.5000).

# NbCoBiOs

A relaxed NbCoBiOs crystal (PBE-GGA, OQMD via LeMat-Bulk).

The calculation puts the total energy at -7.522 eV per atom.

The structure belongs to space group F-43m (No. 216); the cell edges are 6.4871, 6.4871 and 6.4871 Å and the angles 90.00°, 90.00° and 90.00°. Symmetry generates all atoms from Nb at (0.0000, 0.0000, 0.0000), Co at (0.0000, 0.0000, 0.5000), Bi at (0.2500, 0.2500, 0.2500) and Os at (0.2500, 0.2500, 0.7500).

# K2Nd2YMg3Cd

A relaxed K2Nd2YMg3Cd crystal (PBE-GGA, OQMD via LeMat-Bulk).

The calculation puts the total energy at -2.282 eV per atom.

The structure belongs to space group Amm2 (No. 38); the cell edges are 4.8853, 14.3787 and 8.2990 Å and the angles 90.00°, 90.00° and 90.00°. Symmetry generates all atoms from K at (0.0000, 0.1673, 0.0000), Nd at (0.5000, 0.1852, 0.3121), Y at (0.5000, 0.0000, 0.8821), Mg at (0.0000, 0.0000, 0.2889), Mg at (0.0000, 0.1071, 0.6131) and Cd at (0.5000, 0.0000, 0.5125).

# TmTcNO

A relaxed TmTcNO crystal (PBE-GGA, OQMD via LeMat-Bulk).

The calculation puts the total energy at -8.549 eV per atom.

The structure belongs to space group P4/nmm (No. 129, origin choice 2); the cell edges are 3.7394, 3.7394 and 7.5710 Å and the angles 90.00°, 90.00° and 90.00°. Symmetry generates all atoms from Tm at (0.2500, 0.2500, 0.1454), Tc at (0.2500, 0.7500, 0.5000), N at (0.2500, 0.2500, 0.6317) and O at (0.2500, 0.7500, 0.0000).

# Hf4Ni2PN

A relaxed Hf4Ni2PN crystal (PBE-GGA, OQMD via LeMat-Bulk).

The calculation puts the total energy at -8.879 eV per atom.

The structure belongs to space group Pm (No. 6); the cell edges are 5.2651, 3.3712 and 7.3650 Å and the angles 90.00°, 106.98° and 90.00°. Symmetry generates all atoms from Hf at (0.0000, 0.0000, 0.0000), Hf at (0.0538, 0.0000, 0.4291), Hf at (0.5563, 0.5000, 0.1195), Hf at (0.6461, 0.5000, 0.6343), Ni at (0.1574, 0.5000, 0.7499), Ni at (0.5043, 0.0000, 0.3621), P at (0.4577, 0.0000, 0.8374) and N at (0.9890, 0.5000, 0.2042).

# YBeReTe

A relaxed YBeReTe crystal (PBE-GGA, OQMD via LeMat-Bulk).

The calculation puts the total energy at -6.152 eV per atom.

The structure belongs to space group F-43m (No. 216); the cell edges are 6.6271, 6.6271 and 6.6271 Å and the angles 90.00°, 90.00° and 90.00°. Symmetry generates all atoms from Y at (0.0000, 0.0000, 0.0000), Be at (0.2500, 0.2500, 0.2500), Re at (0.0000, 0.0000, 0.5000) and Te at (0.2500, 0.2500, 0.7500).

# Tb3DyPb2N2

A relaxed Tb3DyPb2N2 crystal (PBE-GGA, OQMD via LeMat-Bulk).

The calculation puts the total energy at -6.411 eV per atom.

The structure belongs to space group P3m1 (No. 156); the cell edges are 3.5606, 3.5606 and 15.7000 Å and the angles 90.00°, 90.00° and 120.00°. Symmetry generates all atoms from Tb at (0.0000, 0.0000, 0.0000), Tb at (0.0000, 0.0000, 0.3331), Tb at (0.3333, 0.6667, 0.5002), Dy at (0.3333, 0.6667, 0.8335), Pb at (0.0000, 0.0000, 0.6671), Pb at (0.3333, 0.6667, 0.1665), N at (0.6667, 0.3333, 0.4166) and N at (0.6667, 0.3333, 0.9155).

# NbTlFeCu

A relaxed NbTlFeCu crystal (PBE-GGA, OQMD via LeMat-Bulk).

The calculation puts the total energy at -5.799 eV per atom.

The structure belongs to space group F-43m (No. 216); the cell edges are 6.3222, 6.3222 and 6.3222 Å and the angles 90.00°, 90.00° and 90.00°. Symmetry generates all atoms from Nb at (0.0000, 0.0000, 0.0000), Tl at (0.0000, 0.0000, 0.5000), Fe at (0.2500, 0.2500, 0.2500) and Cu at (0.2500, 0.2500, 0.7500).

# Np

A relaxed Np crystal (PBE-GGA, OQMD via LeMat-Bulk).

The calculation puts the total energy at -12.497 eV per atom.

The structure belongs to space group Im-3m (No. 229); the cell edges are 3.2880, 3.2880 and 3.2880 Å and the angles 90.00°, 90.00° and 90.00°. Symmetry generates all atoms from Np at (0.0000, 0.0000, 0.0000).

# MgCdBi2

A relaxed MgCdBi2 crystal (PBE-GGA, OQMD via LeMat-Bulk).

The calculation puts the total energy at -2.566 eV per atom.

The structure belongs to space group F-43m (No. 216); the cell edges are 7.6826, 7.6826 and 7.6826 Å and the angles 90.00°, 90.00° and 90.00°. Symmetry generates all atoms from Mg at (0.0000, 0.0000, 0.0000), Cd at (0.2500, 0.2500, 0.7500), Bi at (0.0000, 0.0000, 0.5000) and Bi at (0.2500, 0.2500, 0.2500).

# RbYCdSe3

A relaxed RbYCdSe3 crystal (PBE-GGA, OQMD via LeMat-Bulk).

The calculation puts the total energy at -4.473 eV per atom.

The structure belongs to space group P2_1/m (No. 11); the cell edges are 8.8901, 4.2746 and 10.7124 Å and the angles 90.00°, 109.76° and 90.00°. Symmetry generates all atoms from Rb at (0.2461, 0.2500, 0.2664), Y at (0.3208, 0.7500, 0.8691), Cd at (0.0818, 0.2500, 0.6130), Se at (0.0935, 0.2500, 0.8605), Se at (0.2358, 0.7500, 0.5592) and Se at (0.4666, 0.7500, 0.1452).